Compound: BaZrSe
Source: the Alexandria database
Functional: PBE
Structure: relaxed

The energy above the lowest structure with this stoichiometry is 0.439 eV/atom.

It has space group F-43m (No. 216), with a = 7.2186 Å, b = 7.2186 Å, c = 7.2186 Å, α = 90.00°, β = 90.00° and γ = 90.00°. The asymmetric unit holds Ba at (0.0000, 0.0000, 0.0000), Zr at (0.0000, 0.0000, 0.5000) and Se at (0.2500, 0.2500, 0.2500).


Compound: Ba3ZrSe
Source: the Alexandria database
Functional: PBE
Structure: relaxed

The energy above the lowest structure with this stoichiometry is 0.000 eV/atom.

It has space group Pm-3m (No. 221), with a = 6.2797 Å, b = 6.2797 Å, c = 6.2797 Å, α = 90.00°, β = 90.00° and γ = 90.00°. The asymmetric unit holds Ba at (0.0000, 0.0000, 0.5000), Zr at (0.5000, 0.5000, 0.5000) and Se at (0.0000, 0.0000, 0.0000).


Compound: BaZr2Se2
Source: the Alexandria database
Functional: PBE
Structure: relaxed

It has space group I4/mmm (No. 139), with a = 4.1733 Å, b = 4.1733 Å, c = 14.8935 Å, α = 90.00°, β = 90.00° and γ = 90.00°. The asymmetric unit holds Ba at (0.0000, 0.0000, 0.0000), Zr at (0.0000, 0.5000, 0.2500) and Se at (0.0000, 0.0000, 0.3792).


Compound: Ba3Zr2Se7
Source: the Alexandria database
Functional: PBE
Structure: relaxed

It has space group Cmmm (No. 65), with a = 5.3350 Å, b = 26.6880 Å, c = 5.1744 Å, α = 90.00°, β = 90.00° and γ = 90.00°. The asymmetric unit holds Ba at (0.0000, 0.0000, 0.0000), Ba at (0.0000, 0.1795, 0.0000), Zr at (0.0000, 0.3962, 0.5000), Se at (0.0000, 0.0953, 0.5000), Se at (0.0000, 0.2975, 0.5000), Se at (0.0000, 0.4006, 0.0000) and Se at (0.0000, 0.5000, 0.5000).


Compound: BaZr4Se8
Source: the Alexandria database
Functional: PBE
Structure: relaxed

The energy above the lowest structure with this stoichiometry is 0.180 eV/atom.

It has space group F-43m (No. 216), with a = 11.6297 Å, b = 11.6297 Å, c = 11.6297 Å, α = 90.00°, β = 90.00° and γ = 90.00°. The asymmetric unit holds Ba at (0.0000, 0.0000, 0.0000), Zr at (0.1169, 0.1169, 0.6169), Se at (0.1172, 0.1172, 0.3828) and Se at (0.1467, 0.1467, 0.8533).


Compound: BaZrSe
Source: the Alexandria database
Functional: PBE
Structure: relaxed

The energy above the lowest structure with this stoichiometry is 0.000 eV/atom.

It has space group I4mm (No. 107), with a = 3.7366 Å, b = 3.7366 Å, c = 12.8356 Å, α = 90.00°, β = 90.00° and γ = 90.00°. The asymmetric unit holds Ba at (0.0000, 0.0000, 0.0000), Zr at (0.0000, 0.0000, 0.7067) and Se at (0.0000, 0.0000, 0.2688).


Compound: BaZr4Se8
Source: the Alexandria database
Functional: PBE
Structure: relaxed

The energy above the lowest structure with this stoichiometry is 0.000 eV/atom.

It has space group R-3m (No. 166, hexagonal axes), with a = 7.5823 Å, b = 7.5823 Å, c = 23.9842 Å, α = 90.00°, β = 90.00° and γ = 120.00°. The asymmetric unit holds Ba at (0.0000, 0.0000, 0.0000), Zr at (0.0000, 0.0000, 0.5000), Zr at (0.0000, 0.5000, 0.5000), Se at (0.0000, 0.0000, 0.2337) and Se at (0.0047, 0.5024, 0.2348).


Compound: BaZr4Se
Source: the Alexandria database
Functional: PBE
Structure: relaxed

It has space group F-43m (No. 216), with a = 8.6412 Å, b = 8.6412 Å, c = 8.6412 Å, α = 90.00°, β = 90.00° and γ = 90.00°. The asymmetric unit holds Ba at (0.0000, 0.0000, 0.0000), Zr at (0.1281, 0.1281, 0.3719) and Se at (0.2500, 0.2500, 0.7500).


Per-record energy, eV/atom: -4.850; -3.714; -6.340; -5.548; -6.234; -5.289; -6.414; -6.117